[1]
The following is a DFT calculation (SCAN) of a PBEsol-optimized structure of SrCdTeN2.

Lattice parameters (Å, degrees): 4.5101 4.5101 5.7113 90.00 90.00 90.00
With the nearest neighbours (Å) after each atom.
Element x y z (fractional)
Sr (0.0000, 0.0000, 0.0000)  4 Te 3.19
Cd (0.5000, 0.5000, 0.5000)  4 N 2.26
Te (0.5000, 0.5000, 0.0000)  2 Cd 2.86, 4 Sr 3.19
N (0.0000, 0.5000, 0.5000)  2 Cd 2.26
N (0.5000, 0.0000, 0.5000)  2 Cd 2.26

As for the density of states at the Fermi level: 1.4 states/eV per cell. The theoretical density comes out at 5.083 Mg/m³. The symmetry is P4/mmm, No. 123. The calculation puts the energy relative to the elements, uncorrected at 0.662 eV/atom.



[2]
The following is a DFT calculation (SCAN) of a PBEsol-optimized structure of SrCdW2N.

Lattice parameters (Å, degrees): 5.1821 5.1821 4.0985 90.00 90.00 90.00
With the nearest neighbours (Å) after each atom.
Element x y z (fractional)
Sr (0.0000, 0.0000, 0.0000)  8 W 3.30, 4 N 3.66
Cd (0.5000, 0.5000, 0.5000)  2 N 2.05
W (0.0000, 0.5000, 0.5000)  2 Cd 2.59
W (0.5000, 0.0000, 0.5000)  2 Cd 2.59
N (0.5000, 0.5000, 0.0000)  2 Cd 2.05

As for the density of states at the Fermi level: 4.5 states/eV per cell. The theoretical density comes out at 8.776 Mg/m³. The symmetry is P4/mmm, No. 123. The calculation puts the energy relative to the elements, uncorrected at 2.827 eV/atom.



[3]
The following is a DFT calculation (SCAN) of a PBEsol-optimized structure of TaCdN2.

Lattice parameters (Å, degrees): 5.9679 5.9679 5.9679 130.12 130.12 73.22
With the nearest neighbours (Å) after each atom.
Element x y z (fractional)
Ta (0.0000, 0.0000, 0.0000)  4 N 1.97
Ta (0.7500, 0.2500, 0.5000)  4 N 1.97
Cd (0.2500, 0.7500, 0.5000)  4 N 2.36
Cd (0.5000, 0.5000, 0.0000)  4 N 2.36
N (0.0578, 0.6250, 0.9328)  2 Ta 1.97
N (0.3750, 0.3078, 0.4328)  2 Ta 1.97
N (0.6922, 0.1250, 0.0672)  2 Ta 1.97
N (0.8750, 0.9422, 0.5672)  2 Ta 1.97

As for the density of states at the Fermi level: 3.0 states/eV per cell. The theoretical density comes out at 8.795 Mg/m³. The symmetry is I-42d, No. 122. The calculation puts the energy relative to the elements, uncorrected at -0.489 eV/atom.



[4]
The following is a DFT calculation (SCAN) of a PBEsol-optimized structure of CdTe2N2.

Lattice parameters (Å, degrees): 4.0294 4.0294 6.2850 90.00 90.00 90.00
With the nearest neighbours (Å) after each atom.
Element x y z (fractional)
Cd (0.0000, 0.0000, 0.0000)  4 Te 2.85
Te (0.5000, 0.5000, 0.0000)  4 Cd 2.85, 2 Te 3.14
Te (0.5000, 0.5000, 0.5000)  4 N 2.01
N (0.0000, 0.5000, 0.5000)  2 Te 2.01
N (0.5000, 0.0000, 0.5000)  2 Te 2.01

As for the density of states at the Fermi level: 1.9 states/eV per cell. The theoretical density comes out at 6.438 Mg/m³. The symmetry is P4/mmm, No. 123. The calculation puts the energy relative to the elements, uncorrected at 1.210 eV/atom.



[5]
The following is a DFT calculation (SCAN) of a PBEsol-optimized structure of CdTe3N.

Lattice parameters (Å, degrees): 4.7745 4.7745 4.7745 90.00 90.00 90.00
With the nearest neighbours (Å) after each atom.
Element x y z (fractional)
Cd (0.0000, 0.0000, 0.0000)  12 Te 3.38
Te (0.0000, 0.5000, 0.5000)  2 N 2.39
Te (0.5000, 0.0000, 0.5000)  2 N 2.39
Te (0.5000, 0.5000, 0.0000)  2 N 2.39
N (0.5000, 0.5000, 0.5000)  6 Te 2.39

As for the density of states at the Fermi level: 2.1 states/eV per cell. The theoretical density comes out at 7.769 Mg/m³. The symmetry is Pm-3m, No. 221. The calculation puts the energy relative to the elements, uncorrected at 0.672 eV/atom.



[6]
The following is a DFT calculation (SCAN) of a PBEsol-optimized structure of YCd2TeN.

Lattice parameters (Å, degrees): 4.4336 4.4336 5.4749 90.00 90.00 90.00
With the nearest neighbours (Å) after each atom.
Element x y z (fractional)
Y (0.0000, 0.0000, 0.0000)  4 Te 3.14
Cd (0.0000, 0.5000, 0.5000)  2 N 2.22
Cd (0.5000, 0.0000, 0.5000)  2 N 2.22
Te (0.5000, 0.5000, 0.0000)  2 N 2.74
N (0.5000, 0.5000, 0.5000)  4 Cd 2.22

As for the density of states at the Fermi level: 3.2 states/eV per cell. The theoretical density comes out at 7.026 Mg/m³. The symmetry is P4/mmm, No. 123. The calculation puts the energy relative to the elements, uncorrected at 0.195 eV/atom.



[7]
The following is a DFT calculation (SCAN) of a PBEsol-optimized structure of TiZn2CdN.

Lattice parameters (Å, degrees): 4.2314 4.2314 3.9851 90.00 90.00 90.00
With the nearest neighbours (Å) after each atom.
Element x y z (fractional)
Ti (0.0000, 0.0000, 0.0000)  2 N 1.99
Zn (0.0000, 0.5000, 0.5000)  2 N 2.12
Zn (0.5000, 0.0000, 0.5000)  2 N 2.12
Cd (0.5000, 0.5000, 0.0000)  8 Zn 2.91, 4 Ti 2.99
N (0.0000, 0.0000, 0.5000)  2 Ti 1.99, 4 Zn 2.12

As for the density of states at the Fermi level: 1.9 states/eV per cell. The theoretical density comes out at 7.100 Mg/m³. The symmetry is P4/mmm, No. 123. The calculation puts the energy relative to the elements, uncorrected at -0.159 eV/atom.



[8]
The following is a DFT calculation (SCAN) of a PBEsol-optimized structure of TlCdN2.

Lattice parameters (Å, degrees): 4.2379 4.2379 4.2379 60.00 60.00 60.00
With the nearest neighbours (Å) after each atom.
Element x y z (fractional)
Tl (0.0000, 0.0000, 0.0000)  8 N 2.60
Cd (0.5000, 0.5000, 0.5000)  8 N 2.60
N (0.2500, 0.2500, 0.2500)  4 Cd 2.60, 4 Tl 2.60
N (0.7500, 0.7500, 0.7500)  4 Cd 2.60, 4 Tl 2.60

As for the density of states at the Fermi level: 1.5 states/eV per cell. For the energy relative to the lowest polymorph listed for this composition, the calculation gives 1.623 eV per formula unit. The theoretical density comes out at 10.639 Mg/m³. The symmetry is Fm-3m, No. 225. The calculation puts the energy relative to the elements, uncorrected at 1.552 eV/atom.



[9]
The following is a DFT calculation (SCAN) of a PBEsol-optimized structure of TlCdN2.

Lattice parameters (Å, degrees): 6.5047 6.5047 6.5047 31.72 31.72 31.72
With the nearest neighbours (Å) after each atom.
Element x y z (fractional)
Tl (0.0000, 0.0000, 0.0000)  2 N 2.01
Cd (0.5000, 0.5000, 0.5000)  6 N 2.32
N (0.1086, 0.1086, 0.1086)  1 Tl 2.01
N (0.8914, 0.8914, 0.8914)  1 Tl 2.01

As for the density of states at the Fermi level: 2.1 states/eV per cell. For the energy relative to the lowest polymorph listed for this composition, the calculation gives 0.000 eV per formula unit. The theoretical density comes out at 8.474 Mg/m³. The symmetry is R-3m, No. 166. The calculation puts the energy relative to the elements, uncorrected at 1.147 eV/atom.



[10]
The following is a DFT calculation (SCAN) of a PBEsol-optimized structure of CdWN3.

Lattice parameters (Å, degrees): 3.9585 3.9585 3.9585 90.00 90.00 90.00
With the nearest neighbours (Å) after each atom.
Element x y z (fractional)
Cd (0.0000, 0.0000, 0.0000)  12 N 2.80
W (0.5000, 0.5000, 0.5000)  6 N 1.98
N (0.0000, 0.5000, 0.5000)  2 W 1.98
N (0.5000, 0.0000, 0.5000)  2 W 1.98
N (0.5000, 0.5000, 0.0000)  2 W 1.98

As for the density of states at the Fermi level: 1.2 states/eV per cell. The theoretical density comes out at 9.056 Mg/m³. The symmetry is Pm-3m, No. 221. The calculation puts the energy relative to the elements, uncorrected at 0.370 eV/atom.



[11]
The following is a DFT calculation (SCAN) of a PBEsol-optimized structure of CdWN3.

Lattice parameters (Å, degrees): 3.9721 3.9721 3.9721 90.00 90.00 90.00
With the nearest neighbours (Å) after each atom.
Element x y z (fractional)
Cd (0.0000, 0.0000, 0.0000)  6 N 1.99
W (0.5000, 0.5000, 0.5000)  12 N 2.81
N (0.0000, 0.0000, 0.5000)  2 Cd 1.99
N (0.0000, 0.5000, 0.0000)  2 Cd 1.99
N (0.5000, 0.0000, 0.0000)  2 Cd 1.99

As for the density of states at the Fermi level: 2.2 states/eV per cell. The theoretical density comes out at 8.963 Mg/m³. The symmetry is Pm-3m, No. 221. The calculation puts the energy relative to the elements, uncorrected at 2.766 eV/atom.



[12]
The following is a DFT calculation (SCAN) of a PBEsol-optimized structure of Y3CdN.

Lattice parameters (Å, degrees): 6.7271 6.7271 6.7271 119.69 90.27 119.99
With the nearest neighbours (Å) after each atom.
Element x y z (fractional)
Y (0.2231, 0.0000, 0.7231)  2 N 2.40
Y (0.2231, 0.5000, 0.2231)  2 N 2.40
Y (0.3038, 0.0538, 0.2500)  2 N 2.40
Y (0.6962, 0.9462, 0.7500)  2 N 2.40
Y (0.7769, 0.0000, 0.2769)  2 N 2.40
Y (0.7769, 0.5000, 0.7769)  2 N 2.40
Cd (0.2466, 0.4966, 0.7500)  5 Y 3.02-3.18
Cd (0.7534, 0.5034, 0.2500)  5 Y 3.02-3.18
N (0.0000, 0.0000, 0.0000)  6 Y 2.40
N (0.5000, 0.0000, 0.5000)  6 Y 2.40

As for the density of states at the Fermi level: 1.5 states/eV per cell. The theoretical density comes out at 6.051 Mg/m³. The symmetry is Imma, No. 74. The calculation puts the energy relative to the elements, uncorrected at -1.089 eV/atom.



[13]
The following is a DFT calculation (SCAN) of a PBEsol-optimized structure of Y2CdN.

Lattice parameters (Å, degrees): 4.8336 4.8336 4.8336 60.00 60.00 60.00
With the nearest neighbours (Å) after each atom.
Element x y z (fractional)
Y (0.2500, 0.2500, 0.2500)  4 Cd 2.96, 4 N 2.96
Y (0.7500, 0.7500, 0.7500)  4 Cd 2.96, 4 N 2.96
Cd (0.0000, 0.0000, 0.0000)  8 Y 2.96
N (0.5000, 0.5000, 0.5000)  8 Y 2.96

As for the density of states at the Fermi level: 3.7 states/eV per cell. The theoretical density comes out at 6.327 Mg/m³. The symmetry is Fm-3m, No. 225. The calculation puts the energy relative to the elements, uncorrected at 0.195 eV/atom.



[14]
The following is a DFT calculation (SCAN) of a PBEsol-optimized structure of Y3CdN.

Lattice parameters (Å, degrees): 4.7659 4.7659 4.7659 90.00 90.00 90.00
With the nearest neighbours (Å) after each atom.
Element x y z (fractional)
Y (0.0000, 0.0000, 0.5000)  2 N 2.38
Y (0.0000, 0.5000, 0.0000)  2 N 2.38
Y (0.5000, 0.0000, 0.0000)  2 N 2.38
Cd (0.5000, 0.5000, 0.5000)  12 Y 3.37
N (0.0000, 0.0000, 0.0000)  6 Y 2.38

As for the density of states at the Fermi level: 3.7 states/eV per cell. The theoretical density comes out at 6.031 Mg/m³. The symmetry is Pm-3m, No. 221. The calculation puts the energy relative to the elements, uncorrected at -1.080 eV/atom.



[15]
The following is a DFT calculation (SCAN) of a PBEsol-optimized structure of ZnCdN2.

Lattice parameters (Å, degrees): 5.6495 5.6495 5.6495 128.38 128.38 76.01
With the nearest neighbours (Å) after each atom.
Element x y z (fractional)
Zn (0.0000, 0.0000, 0.0000)  4 N 1.95
Zn (0.7500, 0.2500, 0.5000)  4 N 1.95
Cd (0.2500, 0.7500, 0.5000)  4 N 2.20
Cd (0.5000, 0.5000, 0.0000)  4 N 2.20
N (0.0823, 0.6250, 0.9573)  2 Zn 1.95
N (0.3750, 0.3323, 0.4573)  2 Zn 1.95
N (0.6677, 0.1250, 0.0427)  2 Zn 1.95
N (0.8750, 0.9177, 0.5427)  2 Zn 1.95

As for the density of states at the Fermi level: 6.1 states/eV per cell. The theoretical density comes out at 6.345 Mg/m³. The symmetry is I-42d, No. 122. The calculation puts the energy relative to the elements, uncorrected at 0.779 eV/atom.



[16]
The following is a DFT calculation (SCAN) of a PBEsol-optimized structure of ZrCdN2.

Lattice parameters (Å, degrees): 6.1084 6.1084 6.1084 131.66 131.66 70.76
With the nearest neighbours (Å) after each atom.
Element x y z (fractional)
Zr (0.0000, 0.0000, 0.0000)  4 N 2.07
Zr (0.7500, 0.2500, 0.5000)  4 N 2.07
Cd (0.2500, 0.7500, 0.5000)  4 N 2.27
Cd (0.5000, 0.5000, 0.0000)  4 N 2.27
N (0.0905, 0.6250, 0.9655)  2 Zr 2.07, 2 Cd 2.27
N (0.3750, 0.3405, 0.4655)  2 Zr 2.07, 2 Cd 2.27
N (0.6595, 0.1250, 0.0345)  2 Zr 2.07, 2 Cd 2.27
N (0.8750, 0.9095, 0.5345)  2 Zr 2.07, 2 Cd 2.27

As for the density of states at the Fermi level: 0.0 states/eV per cell. The theoretical density comes out at 6.175 Mg/m³. The symmetry is I-42d, No. 122. The calculation puts the energy relative to the elements, uncorrected at -0.896 eV/atom.



[17]
The following is a DFT calculation (SCAN) of a PBEsol-optimized structure of ZrCdN3.

Lattice parameters (Å, degrees): 4.2109 4.2109 4.2109 90.00 90.00 90.00
With the nearest neighbours (Å) after each atom.
Element x y z (fractional)
Zr (0.0000, 0.0000, 0.0000)  6 N 2.11
Cd (0.5000, 0.5000, 0.5000)  12 N 2.98
N (0.0000, 0.0000, 0.5000)  2 Zr 2.11
N (0.0000, 0.5000, 0.0000)  2 Zr 2.11
N (0.5000, 0.0000, 0.0000)  2 Zr 2.11

As for the density of states at the Fermi level: 1.4 states/eV per cell. The theoretical density comes out at 5.463 Mg/m³. The symmetry is Pm-3m, No. 221. The calculation puts the energy relative to the elements, uncorrected at 0.481 eV/atom.



[18]
The following is a DFT calculation (SCAN) of a PBEsol-optimized structure of Na3NbCd.

Lattice parameters (Å, degrees): 5.4981 5.4981 5.4981 90.00 90.00 90.00
With the nearest neighbours (Å) after each atom.
Element x y z (fractional)
Na (0.0000, 0.0000, 0.5000)  2 Cd 2.75
Na (0.0000, 0.5000, 0.0000)  2 Cd 2.75
Na (0.5000, 0.0000, 0.0000)  2 Cd 2.75
Nb (0.5000, 0.5000, 0.5000)  12 Na 3.89
Cd (0.0000, 0.0000, 0.0000)  6 Na 2.75

As for the density of states at the Fermi level: 2.9 states/eV per cell. The theoretical density comes out at 2.740 Mg/m³. As for the total energy: -1.04682 Ry per atom. The symmetry is Pm-3m, No. 221.



[19]
The following is a DFT calculation (SCAN) of a PBEsol-optimized structure of Na2Cd2O3.

Lattice parameters (Å, degrees): 6.4957 5.9971 6.2572 90.00 118.34 90.00
With the nearest neighbours (Å) after each atom.
Element x y z (fractional)
Na (0.0950, 0.1633, 0.3784)  4 O 2.31-2.52
Na (0.0950, 0.3367, 0.8784)  4 O 2.31-2.52
Na (0.9050, 0.6633, 0.1216)  4 O 2.31-2.52
Na (0.9050, 0.8367, 0.6216)  4 O 2.31-2.52
Cd (0.3498, 0.6265, 0.5988)  4 O 2.18-2.30
Cd (0.3498, 0.8735, 0.0988)  4 O 2.18-2.30
Cd (0.6502, 0.1265, 0.9012)  4 O 2.18-2.30
Cd (0.6502, 0.3735, 0.4012)  4 O 2.18-2.30
O (0.0000, 0.0000, 0.0000)  2 Cd 2.19, 4 Na 2.34-2.36
O (0.0000, 0.5000, 0.5000)  2 Cd 2.19, 4 Na 2.34-2.36
O (0.3134, 0.5437, 0.2243)  3 Cd 2.18-2.30, 1 Na 2.31
O (0.3134, 0.9563, 0.7243)  3 Cd 2.18-2.30, 1 Na 2.31
O (0.6866, 0.0437, 0.2757)  3 Cd 2.18-2.30, 1 Na 2.31
O (0.6866, 0.4563, 0.7757)  3 Cd 2.18-2.30, 1 Na 2.31

The theoretical density comes out at 4.935 Mg/m³. The symmetry is P2_1/c, No. 14. The calculation puts the energy relative to the elements, uncorrected at -1.296 eV/atom.



[20]
The following is a DFT calculation (SCAN) of a PBEsol-optimized structure of NaCdP2O.

Lattice parameters (Å, degrees): 5.0280 5.0280 4.1924 90.00 90.00 90.00
With the nearest neighbours (Å) after each atom.
Element x y z (fractional)
Na (0.0000, 0.0000, 0.0000)  8 P 3.27, 4 O 3.56
Cd (0.5000, 0.5000, 0.5000)  2 O 2.10
P (0.0000, 0.5000, 0.5000)  2 Cd 2.51
P (0.5000, 0.0000, 0.5000)  2 Cd 2.51
O (0.5000, 0.5000, 0.0000)  2 Cd 2.10

As for the density of states at the Fermi level: 2.7 states/eV per cell. For the energy relative to the lowest polymorph listed for this composition, the calculation gives 0.000 eV per formula unit. The theoretical density comes out at 3.343 Mg/m³. The symmetry is P4/mmm, No. 123. The calculation puts the energy relative to the elements, uncorrected at 0.527 eV/atom.